Entry 1:
Below is CsRb2CuP after structural relaxation, with properties calculated at the GGA-PBE level.

The structure in POSCAR format:
```
CsRb2CuP
1.0
-0.078 -0.057 -7.370
-5.034 -2.339 0.072
-3.106 6.684 -0.019
Cs Cu P Rb
1 1 1 2
Direct
0.000 0.000 0.000 Cs
0.500 0.500 0.500 Cu
0.000 0.500 0.000 P
0.500 0.000 0.000 Rb
0.000 0.000 0.500 Rb
```

ΔH_f (0 K) ... 772 meV/atom


Entry 2:
Below is CsCu2PS4 after structural relaxation, with properties calculated at the GGA-PBE level.

The structure in POSCAR format:
```
CsCu2PS4
1.0
-3.549 -2.099 4.728
2.911 -5.535 -0.491
3.426 5.190 0.823
Cs S P Cu
1 4 1 2
Direct
0.500 0.500 0.000 Cs
0.329 0.965 0.000 S
0.035 0.035 0.364 S
0.965 0.329 0.000 S
0.671 0.671 0.636 S
0.000 0.000 0.000 P
0.250 0.750 0.500 Cu
0.750 0.250 0.500 Cu
```

E_form (uncorrected) ... -0.35 eV per atom


Entry 3:
Below is CsCuP2S after structural relaxation, with properties calculated at the GGA-PBE level.

The structure in POSCAR format:
```
CsCuP2S
1.0
4.709 0.000 0.000
0.000 4.709 0.000
0.000 0.000 5.149
P Cs Cu S
2 1 1 1
Direct
0.500 0.000 0.000 P
0.000 0.500 0.000 P
0.500 0.500 0.500 Cs
0.000 0.000 0.000 Cu
0.000 0.000 0.500 S
```

E_form (uncorrected) ... 0.44 eV per atom
ΔE to the lowest computed polymorph ... 0 meV/atom


Entry 4:
Below is CsCuPS2 after structural relaxation, with properties calculated at the GGA-PBE level.

The structure in POSCAR format:
```
CsCuPS2
1.0
5.022 0.000 0.000
0.000 5.022 0.000
0.000 0.000 4.511
P S Cs Cu
1 2 1 1
Direct
0.000 0.000 0.500 P
0.500 0.000 0.000 S
0.000 0.500 0.000 S
0.500 0.500 0.500 Cs
0.000 0.000 0.000 Cu
```

E_form (uncorrected) ... 0.23 eV per atom
ΔE to the lowest computed polymorph ... 0 meV/atom


Entry 5:
Below is CsCuP2S after structural relaxation, with properties calculated at the GGA-PBE level.

The structure in POSCAR format:
```
CsCuP2S
1.0
5.885 0.000 0.000
0.000 5.885 0.000
0.000 0.000 5.422
P S Cs Cu
2 1 1 1
Direct
0.000 0.500 0.000 P
0.500 0.000 0.000 P
0.000 0.000 0.500 S
0.000 0.000 0.000 Cs
0.500 0.500 0.500 Cu
```

E_form (uncorrected) ... 2.10 eV per atom
ΔE to the lowest computed polymorph ... 1656 meV/atom


Entry 6:
Below is CsCuPS2 after structural relaxation, with properties calculated at the GGA-PBE level.

The structure in POSCAR format:
```
CsCuPS2
1.0
-1.066 2.776 -4.575
1.941 -4.147 -2.969
-5.347 -2.367 -0.190
P S Cu Cs
1 2 1 1
Direct
0.000 0.000 0.500 P
0.500 0.000 0.000 S
0.000 0.500 0.000 S
0.500 0.500 0.500 Cu
0.000 0.000 0.000 Cs
```

E_form (uncorrected) ... 1.83 eV per atom
ΔE to the lowest computed polymorph ... 1598 meV/atom


Entry 7:
Below is Cs2CuP2S6 after structural relaxation, with properties calculated at the GGA-PBE level.

The structure in POSCAR format:
```
Cs2CuP2S6
1.0
-1.324 2.693 6.276
2.519 -3.078 5.708
6.311 3.855 3.533
Cs S P Cu
2 6 2 1
Direct
0.227 0.227 0.320 Cs
0.773 0.773 0.680 Cs
0.260 0.758 0.224 S
0.740 0.242 0.776 S
0.242 0.242 0.776 S
0.242 0.740 0.776 S
0.758 0.260 0.224 S
0.758 0.758 0.224 S
0.582 0.582 0.254 P
0.418 0.418 0.746 P
0.000 0.000 0.000 Cu
```

E_form (uncorrected) ... -0.50 eV per atom


Entry 8:
Below is CsCu2PSe4 after structural relaxation, with properties calculated at the GGA-PBE level.

The structure in POSCAR format:
```
CsCu2PSe4
1.0
-5.824 2.068 1.181
-3.925 1.721 -5.606
-5.003 -4.926 0.714
P Se Cs Cu
1 4 1 2
Direct
0.000 0.500 0.500 P
0.048 0.796 0.513 Se
0.357 0.204 0.487 Se
0.952 0.487 0.204 Se
0.643 0.513 0.796 Se
0.000 0.000 0.000 Cs
0.500 0.359 0.641 Cu
0.500 0.641 0.359 Cu
```

E_form (uncorrected) ... -0.37 eV per atom


Entry 9:
Below is CsCuSn2P after structural relaxation, with properties calculated at the GGA-PBE level.

The structure in POSCAR format:
```
CsCuSn2P
1.0
-1.850 5.077 -3.117
-4.786 -0.732 1.649
1.191 3.513 5.016
Sn Cu Cs P
2 1 1 1
Direct
0.000 0.000 0.500 Sn
0.500 0.000 0.000 Sn
0.000 0.500 0.000 Cu
0.000 0.000 0.000 Cs
0.500 0.500 0.500 P
```

ΔH_f (0 K) ... 1860 meV/atom


Entry 10:
Below is Cs2PaCu2S4 after structural relaxation, with properties calculated at the GGA-PBE level.

The structure in POSCAR format:
```
Cs2PaCu2S4
1.0
3.998 0.000 0.000
-1.999 7.328 -0.020
0.000 -2.561 7.819
S Cu Cs Pa
4 2 2 1
Direct
0.805 0.611 0.853 S
0.522 0.045 0.783 S
0.478 0.955 0.217 S
0.195 0.389 0.147 S
0.677 0.353 0.981 Cu
0.323 0.647 0.019 Cu
0.861 0.721 0.435 Cs
0.139 0.279 0.565 Cs
0.000 0.000 0.000 Pa
```

E_form (uncorrected) ... -1.11 eV per atom


Entry 11:
Below is Cs2PaCu2S6 after structural relaxation, with properties calculated at the GGA-PBE level.

The structure in POSCAR format:
```
Cs2PaCu2S6
1.0
-0.068 -4.000 -6.129
-4.287 -5.913 -0.463
-6.722 0.718 -4.764
Pa S Cs Cu
1 6 2 2
Direct
0.000 0.000 0.000 Pa
0.248 0.761 0.229 S
0.761 0.761 0.229 S
0.239 0.239 0.771 S
0.761 0.248 0.229 S
0.752 0.239 0.771 S
0.239 0.752 0.771 S
0.227 0.227 0.318 Cs
0.773 0.773 0.682 Cs
0.589 0.589 0.233 Cu
0.411 0.411 0.767 Cu
```

E_form (uncorrected) ... -0.85 eV per atom


Entry 12:
Below is Cs2PaCuS5 after structural relaxation, with properties calculated at the GGA-PBE level.

The structure in POSCAR format:
```
Cs2PaCuS5
1.0
-1.123 2.593 2.984
1.462 -9.004 5.545
13.723 3.522 2.102
Cu Cs S Pa
2 4 10 2
Direct
0.590 0.180 0.920 Cu
0.410 0.820 0.420 Cu
0.128 0.256 0.695 Cs
0.872 0.744 0.195 Cs
0.875 0.749 0.831 Cs
0.125 0.251 0.331 Cs
0.512 0.025 0.820 S
0.300 0.600 0.395 S
0.677 0.354 0.515 S
0.488 0.975 0.320 S
0.076 0.152 0.990 S
0.306 0.611 0.638 S
0.694 0.389 0.138 S
0.323 0.646 0.015 S
0.924 0.848 0.490 S
0.700 0.400 0.895 S
0.204 0.409 0.019 Pa
0.796 0.591 0.519 Pa
```

E_form (uncorrected) ... -1.03 eV per atom